1.
A plane-wave DFT calculation with PBE-GGA was carried out for a relaxed structure of Ca2SnIr.

Cell: 10.373 10.373 5.099 Å, 90.00 90.00 90.00°
Space group I-42d (No. 122)
Inequivalent atoms, fractional coordinates:
Ca 0.088 0.250 0.125
Sn 0.000 0.000 0.500
Ir 0.000 0.000 0.000


2.
A plane-wave DFT calculation with PBE-GGA was carried out for a relaxed structure of Ca2SiRh2.

Values from the calculation:
Formation energy without anion corrections   -0.602 eV per atom

Cell: 6.429 6.429 4.700 Å, 90.00 90.00 90.00°
Space group P4/mbm (No. 127)
Inequivalent atoms, fractional coordinates:
Ca 0.174 0.326 0.000
Si 0.000 0.000 0.500
Rh 0.149 0.649 0.500


3.
A plane-wave DFT calculation with PBE-GGA was carried out for a relaxed structure of CaNdHo.

Values from the calculation:
Polymorph energy (0 for the lowest one)   14.6 meV per atom

Cell: 3.681 3.681 15.689 Å, 90.00 90.00 90.00°
Space group I4mm (No. 107)
Inequivalent atoms, fractional coordinates:
Ca 0.000 0.000 0.000
Nd 0.000 0.000 0.678
Ho 0.000 0.000 0.327


4.
A plane-wave DFT calculation with PBE-GGA was carried out for a relaxed structure of GePb.

Cell: 4.468 14.042 7.030 Å, 90.00 90.00 90.00°
Space group Pmmn (No. 59, origin choice 2)
Inequivalent atoms, fractional coordinates:
Ge 0.250 0.100 0.123
Ge 0.250 0.750 0.385
Pb 0.250 0.250 0.380
Pb 0.250 0.602 0.123


5.
A plane-wave DFT calculation with PBE-GGA was carried out for a relaxed structure of ScCd2Fe.

Cell: 4.175 4.175 8.538 Å, 90.00 90.00 90.00°
Space group I4/mmm (No. 139)
Inequivalent atoms, fractional coordinates:
Sc 0.000 0.000 0.000
Cd 0.000 0.500 0.250
Fe 0.000 0.000 0.500


6.
A plane-wave DFT calculation with PBE-GGA was carried out for a relaxed structure of SrCa4Sn4.

Cell: 10.278 10.278 6.348 Å, 90.00 90.00 90.00°
Space group P4_2/n (No. 86, origin choice 2)
Inequivalent atoms, fractional coordinates:
Sr 0.250 0.250 0.250
Ca 0.096 0.641 0.130
Sn 0.042 0.605 0.634


7.
A plane-wave DFT calculation with PBE-GGA was carried out for a relaxed structure of LiTmNbTc.

Cell: 6.586 6.586 6.586 Å, 90.00 90.00 90.00°
Space group F-43m (No. 216)
Inequivalent atoms, fractional coordinates:
Li 0.000 0.000 0.000
Tm 0.250 0.250 0.750
Nb 0.250 0.250 0.250
Tc 0.000 0.000 0.500


8.
A plane-wave DFT calculation with PBE-GGA was carried out for a relaxed structure of LaTh5C4.

Cell: 16.286 3.729 7.709 Å, 90.00 103.24 90.00°
Space group C2/m (No. 12)
Inequivalent atoms, fractional coordinates:
La 0.000 0.000 0.000
Th 0.000 0.000 0.500
Th 0.163 0.500 0.308
Th 0.163 0.500 0.847
C 0.008 0.500 0.273
C 0.174 0.000 0.086


Calculated values (eV/cell) of total energy for the records, taken in order: -72.1 -54.3 -22.4 -45.7 -32.9 -60.1 -107.0 -161.6.
Calculated values (Å³ per atom) of calculated volume for the records, taken in order: 34.296 19.429 35.430 36.757 18.601 37.252 17.856 22.783.